Pr2Nd3Ho8: relaxed, PBE.

The structure in POSCAR format:
```
Pr2Nd3Ho8
1.0
-2.1435 0.3909 5.1699
4.3924 -5.9134 2.2682
5.3213 9.5437 1.4811
Pr Ho Nd
2 8 3
Cartesian
5.0162 0.6502 5.0766 Pr
2.5540 3.3710 3.8427 Pr
2.9122 4.8198 6.9261 Ho
7.7530 1.9127 3.0682 Ho
3.6679 -2.5890 4.7608 Ho
3.9023 6.6102 4.1584 Ho
4.6580 -0.7986 1.9931 Ho
5.7531 4.1184 5.1142 Ho
1.8171 -0.0972 3.8050 Ho
-0.1828 2.1085 5.8510 Ho
1.2885 -1.7347 0.6654 Nd
3.1038 -4.1787 1.6028 Nd
-1.0718 0.1955 2.5850 Nd
```

## Properties
Space group ... C2/m
Magnetic moment ... 0.00 μB per formula unit
Energy above the lowest structure with this stoichiometry ... 0.018 eV/atom
Calculated total energy ... -4.40 eV per atom
DFT formation energy ... 0.251 eV/atom
D(E_F) ... 23.30 states/eV/f.u.

***

Pm3YN4: relaxed, PBE.

The structure in POSCAR format:
```
Pm3YN4
1.0
5.0678 0.0000 0.0000
0.0000 5.0678 0.0000
0.0000 0.0000 5.0678
Pm N Y
3 4 1
Cartesian
2.5339 2.5339 0.0000 Pm
2.5339 0.0000 2.5339 Pm
0.0000 2.5339 2.5339 Pm
0.0000 0.0000 2.5339 N
0.0000 2.5339 0.0000 N
2.5339 2.5339 2.5339 N
2.5339 0.0000 0.0000 N
0.0000 0.0000 0.0000 Y
```

## Properties
Space group ... Pm-3m
Magnetic moment ... 0.00 μB per formula unit
Energy above the lowest structure with this stoichiometry ... 0.004 eV/atom
Calculated total energy ... -8.24 eV per atom
D(E_F) ... 1.57 states/eV/f.u.
Formation energy without anion corrections ... -1.484 eV/atom

***

Ca2YPb: relaxed, PBE.

The structure in POSCAR format:
```
Ca2YPb
1.0
-0.0866 -4.7033 4.9705
2.1334 -6.3606 -1.3512
1.6979 6.6296 0.0068
Ca Pb Y
2 1 1
Cartesian
1.2458 -1.4160 3.2669 Ca
0.0039 -0.0211 0.0069 Ca
1.0158 -5.4905 1.7960 Pb
2.5027 -3.0387 0.3658 Y
```

## Properties
Space group ... Imm2
Magnetic moment ... 0.00 μB per formula unit
Calculated total energy ... -3.78 eV per atom
DFT formation energy ... -0.232 eV/atom
D(E_F) ... 3.54 states/eV/f.u.

***

Tm4Te3Pt: relaxed, PBE.

The structure in POSCAR format:
```
Tm4Te3Pt
1.0
4.1492 0.0000 0.0000
0.0000 7.5370 0.0032
0.0000 -2.3732 7.1536
Pt Tm Te
1 4 3
Cartesian
2.0746 0.0000 0.0000 Pt
0.0000 1.0826 1.5004 Tm
2.0746 5.2534 1.6508 Tm
2.0746 -0.0896 5.5059 Tm
0.0000 4.0812 5.6563 Tm
0.0000 -1.1866 3.5768 Te
2.0746 2.5819 3.5784 Te
0.0000 3.7685 0.0016 Te
```

## Properties
Space group ... Cmmm
Magnetic moment ... 0.00 μB per formula unit
Calculated total energy ... -5.42 eV per atom
D(E_F) ... 3.60 states/eV/f.u.
Formation energy without anion corrections ... -1.250 eV/atom

***

> Which value of D(E_F) does entry 2 give?

1.57 states/eV/f.u.